1.
Entry from Alexandria: crystalline AlCuTe2 at its relaxed geometry (PBE).

```
AlCuTe2
1.0
-1.9525 0.4542 -4.2676
0.9786 -3.7610 2.6698
-6.8732 0.4801 3.1957
Te Al Cu
2 1 1
Direct
0.0000 0.0000 0.9925 Te
0.0000 0.0000 0.5075 Te
0.5000 0.5000 0.2500 Al
0.5000 0.5000 0.7500 Cu
```

Results
Space group ... Cmmm (65)

=====

2.
Entry from Alexandria: crystalline Al2CuTe4 at its relaxed geometry (PBE).

```
Al2CuTe4
1.0
-2.5548 -2.2090 4.6906
-0.6267 -5.0592 -2.7240
5.6599 -1.8834 2.1958
Al Te Cu
2 4 1
Direct
0.0000 0.5000 0.5000 Al
0.5000 0.0000 0.5000 Al
0.2622 0.2622 0.2351 Te
0.7378 0.7378 0.2351 Te
0.7378 0.2622 0.7649 Te
0.2622 0.7378 0.7649 Te
0.0000 0.0000 0.0000 Cu
```

Results
Space group ... P-42m (111)

=====

3.
Entry from Alexandria: crystalline AlCuTe2 at its relaxed geometry (PBE).

```
AlCuTe2
1.0
3.1383 0.0180 0.0000
-0.7281 3.0527 0.0000
0.0000 0.0000 9.7424
Al Cu Te
1 1 2
Direct
0.0000 0.0000 0.5578 Al
0.5000 0.5000 0.7149 Cu
0.5000 0.5000 0.3023 Te
0.0000 0.0000 0.9249 Te
```

Results
Space group ... Cmm2 (35)

=====

4.
Entry from Alexandria: crystalline AlCuTe at its relaxed geometry (PBE).

```
AlCuTe
1.0
-0.2981 -1.9050 3.2758
-1.1209 -3.0945 -1.9016
8.3162 -2.5618 -0.7331
Te Al Cu
2 2 2
Direct
0.0000 0.5000 0.1924 Te
0.5000 0.0000 0.8076 Te
0.5000 0.5000 0.5000 Al
0.0000 0.0000 0.5000 Al
0.0000 0.5000 0.6953 Cu
0.5000 0.0000 0.3047 Cu
```

Results
Space group ... P4/nmm (129)
Energy relative to the lowest polymorph listed for this composition ... 0.00 eV per formula unit

=====

5.
Entry from Alexandria: crystalline Al4CuTe at its relaxed geometry (PBE).

```
Al4CuTe
1.0
0.0000 3.8399 3.8399
3.8399 0.0000 3.8399
3.8399 3.8399 0.0000
Te Cu Al
1 1 4
Direct
0.0000 0.0000 0.0000 Te
0.7500 0.7500 0.7500 Cu
0.3758 0.3758 0.3758 Al
0.3758 0.3758 0.8726 Al
0.8726 0.3758 0.3758 Al
0.3758 0.8726 0.3758 Al
```

Results
Space group ... F-43m (216)

=====

6.
Entry from Alexandria: crystalline AlCuTe2 at its relaxed geometry (PBE).

```
AlCuTe2
1.0
-4.0245 -0.6037 0.6088
0.5297 -4.0616 -0.5256
1.1430 -0.7586 6.8032
Cu Te Al
1 2 1
Direct
0.5000 0.8474 0.6256 Cu
0.0000 0.9000 0.8720 Te
0.5000 0.3584 0.3776 Te
0.0000 0.3943 0.6248 Al
```

Results
Space group ... Pm (6)

=====

7.
Entry from Alexandria: crystalline AlCuTe2 at its relaxed geometry (PBE).

```
AlCuTe2
1.0
3.4032 0.0000 0.0000
0.0000 3.5215 0.0000
0.0000 0.0000 7.2881
Te Cu Al
2 1 1
Direct
0.0000 0.0000 0.9913 Te
0.0000 0.0000 0.5087 Te
0.5000 0.5000 0.7500 Cu
0.5000 0.5000 0.2500 Al
```

Results
Space group ... Pmmm (47)

=====

8.
Entry from Alexandria: crystalline AlCuTe3 at its relaxed geometry (PBE).

```
AlCuTe3
1.0
3.9311 0.6835 0.5364
1.0580 6.5353 0.6150
1.0594 2.1571 6.1986
Cu Al Te
1 1 3
Direct
0.0116 0.8882 0.1138 Cu
0.5125 0.2372 0.7649 Al
0.3342 0.1122 0.2165 Te
0.6893 0.7856 0.8897 Te
0.0125 0.4770 0.5251 Te
```

Results
Space group ... C2 (5)
Energy relative to the lowest polymorph listed for this composition ... 0.00 eV per formula unit

=====

no.,formation energy without anion corrections (eV per atom),total energy (eV per atom)
1,0.133,-3.40
2,-0.310,-3.76
3,0.167,-3.36
4,0.014,-3.65
5,0.324,-3.38
6,-0.303,-3.83
7,0.286,-3.24
8,-0.177,-3.63